SrPdBr4: relaxed, PBE.

Output
Theoretical density (Mg/m³): 4.11
ΔE_f (raw) (eV/f.u.): -7.04
Final energy (eV per atom): -3.434
E above lowest polymorph (meV per atom): 0.0
Magnetic moment (μB/f.u.): 0.000

Cell: 6.4645 6.4645 6.4644 Å, 111.28 111.28 105.92°
With the nearest neighbours (Å) after each atom.
Fractional positions:
Sr: 0.7500 0.2500 0.5000  8 Br 3.23-3.24
Pd: 0.5000 0.5000 0.0000  4 Br 2.46
Br: 0.2610 0.2632 0.5224  1 Pd 2.46
Br: 0.7408 0.7386 0.4776  1 Pd 2.46
Br: 0.2614 0.7389 0.0021  1 Pd 2.46
Br: 0.7368 0.2593 0.9979  1 Pd 2.46